a:
DFT (GGA-PBEsol) results for an optimized crystal structure of ZnSbP2.

Geometry as CIF:
```
data_ZnSbP2
_symmetry_space_group_name_H-M 'R 3 m'
_symmetry_Int_Tables_number 160
_symmetry_space_group_name_Hall 'R 3 -2"'
_cell_length_a 3.2939
_cell_length_b 3.2939
_cell_length_c 24.3444
_cell_angle_alpha 90.00
_cell_angle_beta 90.00
_cell_angle_gamma 120.00
loop_
_atom_site_label
_atom_site_type_symbol
_atom_site_fract_x
_atom_site_fract_y
_atom_site_fract_z
Zn1 Zn 0.0000 0.0000 0.0000
Sb1 Sb 0.0000 0.0000 0.7547
P1 P 0.0000 0.0000 0.2578
P2 P 0.0000 0.0000 0.5390
```



b:
DFT (GGA-PBEsol) results for an optimized crystal structure of ZnSbP2.

Geometry as CIF:
```
data_ZnSbP2
_symmetry_space_group_name_H-M 'P 4/m m m'
_symmetry_Int_Tables_number 123
_symmetry_space_group_name_Hall '-P 4 2'
_cell_length_a 4.562
_cell_length_b 4.562
_cell_length_c 3.366
_cell_angle_alpha 90.00
_cell_angle_beta 90.00
_cell_angle_gamma 90.00
loop_
_atom_site_label
_atom_site_type_symbol
_atom_site_fract_x
_atom_site_fract_y
_atom_site_fract_z
Zn1 Zn 0.000 0.000 0.000
Sb1 Sb 0.500 0.500 0.000
P1 P 0.000 0.500 0.500
```



Which structure is the most stable? The one labeled a.